A plane-wave DFT calculation with PBE with a Hubbard U was carried out for crystalline Hg2MoRhO at its relaxed geometry.

Structure (extended XYZ):
```
5
Lattice="5.4573 0.0000 0.0000 0.0000 5.4573 0.0000 0.0000 0.0000 3.7372" Properties=species:S:1:pos:R:3 pbc="T T T"
Hg 0.0000 2.7286 0.0000
Hg 2.7286 0.0000 0.0000
Mo 0.0000 0.0000 0.0000
Rh 2.7286 2.7286 1.8686
O 0.0000 0.0000 1.8686
```

Results
Space group   P4/mmm (123)
Calculated total energy   -17.66 eV for the cell shown